A PBEsol-optimized structure of TaAlPt2I, computed with SCAN.

Results
energy relative to the elements, uncorrected: 1.595 eV/atom

Cell lengths 4.862, 4.862, 5.038 Å; angles 90.00, 90.00, 90.00 degrees
Fractional coordinates of all 5 atoms:
Ta: 0.000 0.000 0.000
Al: 0.500 0.500 0.000
Pt: 0.000 0.500 0.500
Pt: 0.500 0.000 0.500
I: 0.000 0.000 0.500

A PBEsol-optimized structure of CsRhI2N, computed with SCAN.

Results
energy relative to the elements, uncorrected: -0.202 eV/atom

Cell lengths 5.961, 5.961, 3.734 Å; angles 90.00, 90.00, 90.00 degrees
Fractional coordinates of all 5 atoms:
Cs: 0.000 0.000 0.000
Rh: 0.500 0.500 0.500
I: 0.000 0.500 0.500
I: 0.500 0.000 0.500
N: 0.500 0.500 0.000

A PBEsol-optimized structure of RbY3I, computed with SCAN.

Results
energy relative to the elements, uncorrected: 0.371 eV/atom

Cell lengths 5.785, 5.785, 5.785 Å; angles 90.00, 90.00, 90.00 degrees
Fractional coordinates of all 5 atoms:
Rb: 0.000 0.000 0.000
Y: 0.000 0.500 0.500
Y: 0.500 0.000 0.500
Y: 0.500 0.500 0.000
I: 0.500 0.500 0.500

A PBEsol-optimized structure of TlZn2Cl, computed with SCAN.

Results
energy relative to the elements, uncorrected: -0.056 eV/atom

Cell lengths 4.141, 4.141, 10.702 Å; angles 90.00, 90.00, 90.00 degrees
Fractional coordinates of all 8 atoms:
Tl: 0.000 0.000 0.000
Tl: 0.500 0.500 0.500
Zn: 0.000 0.500 0.250
Zn: 0.000 0.500 0.750
Zn: 0.500 0.000 0.250
Zn: 0.500 0.000 0.750
Cl: 0.000 0.000 0.500
Cl: 0.500 0.500 0.000

A PBEsol-optimized structure of HfPtS2N, computed with SCAN.

Results
energy relative to the elements, uncorrected: 0.292 eV/atom

Cell lengths 4.803, 4.803, 3.628 Å; angles 90.00, 90.00, 90.00 degrees
Fractional coordinates of all 5 atoms:
Hf: 0.000 0.000 0.000
Pt: 0.500 0.500 0.500
S: 0.000 0.500 0.500
S: 0.500 0.000 0.500
N: 0.500 0.500 0.000

A PBEsol-optimized structure of LiZn2Ag, computed with SCAN.

Cell lengths 3.895, 3.895, 7.570 Å; angles 90.00, 90.00, 90.00 degrees
Fractional coordinates of all 8 atoms:
Li: 0.000 0.000 0.000
Li: 0.500 0.500 0.500
Zn: 0.000 0.000 0.500
Zn: 0.000 0.500 0.250
Zn: 0.500 0.000 0.750
Zn: 0.500 0.500 0.000
Ag: 0.000 0.500 0.750
Ag: 0.500 0.000 0.250

A PBEsol-optimized structure of Cs2Li2Mg, computed with SCAN.

Cell lengths 4.223, 4.223, 25.023 Å; angles 90.00, 90.00, 90.00 degrees
Fractional coordinates of all 10 atoms:
Cs: 0.000 0.000 0.111
Cs: 0.000 0.000 0.889
Cs: 0.500 0.500 0.389
Cs: 0.500 0.500 0.611
Li: 0.000 0.500 0.250
Li: 0.000 0.500 0.750
Li: 0.500 0.000 0.250
Li: 0.500 0.000 0.750
Mg: 0.000 0.000 0.500
Mg: 0.500 0.500 0.000

A PBEsol-optimized structure of La2PdPt2, computed with SCAN.

Cell lengths 7.589, 7.589, 3.891 Å; angles 90.00, 90.00, 90.00 degrees
Fractional coordinates of all 10 atoms:
La: 0.174 0.326 0.000
La: 0.326 0.826 0.000
La: 0.674 0.174 0.000
La: 0.826 0.674 0.000
Pd: 0.000 0.000 0.500
Pd: 0.500 0.500 0.500
Pt: 0.132 0.632 0.500
Pt: 0.368 0.132 0.500
Pt: 0.632 0.868 0.500
Pt: 0.868 0.368 0.500

no.,E_tot (eV/atom),M_tot (μB per cell)
1,-48.698,0.00
2,-31.073,0.00
3,-27.831,0.88
4,-26.898,0.00
5,-31.991,0.57
6,-15.362,0.00
7,-16.831,0.89
8,-53.013,0.00